Tc2AgP | PBE | optimized geometry

Unit cell a=6.2100 b=6.2100 c=6.2100 alpha=90.00 beta=90.00 gamma=90.00
Last column: nearest neighbours and their distance in Å.
Space group F-43m (No. 216)
Symmetry-distinct sites (fractional):
Tc (0.0000, 0.0000, 0.0000) (multiplicity 4)  4 Tc 2.69, 4 P 2.69
Tc (0.2500, 0.2500, 0.2500) (multiplicity 4)  4 Tc 2.69, 4 Ag 2.69
Ag (0.0000, 0.0000, 0.5000) (multiplicity 4)  4 P 2.69, 4 Tc 2.69
P (0.2500, 0.2500, 0.7500) (multiplicity 4)  4 Tc 2.69, 4 Ag 2.69

## Properties
- Density of states at the Fermi level: 1.046 states/eV per atom
- V: 239 Å³/cell
- Total DFT energy (no corrections): -6.714 eV per atom